1.
Below is a relaxed structure of Tb2Nd3Ho6Mg, with properties calculated at the GGA-PBE level.

Computed properties:
The crystal system is monoclinic. As for the energy: -52.2 eV/cell.

Unit cell a=6.1582 b=6.1582 c=11.7446 alpha=95.04 beta=95.04 gamma=120.06
Closest atoms and distances in Å follow each position.
Atoms (fractional coordinates):
Tb: 0.1662 0.8338 0.0000  6 Ho 3.50-3.51, 3 Tb 3.55-3.56, 3 Mg 3.55-3.56
Tb: 0.8338 0.1662 0.0000  6 Ho 3.50-3.51, 3 Tb 3.55-3.56, 3 Mg 3.55-3.56
Nd: 0.0000 0.0000 0.5000  6 Nd 3.55-3.57, 6 Ho 3.58-3.59
Nd: 0.3341 0.6659 0.5000  6 Nd 3.54-3.57, 6 Ho 3.58-3.60
Nd: 0.6659 0.3341 0.5000  6 Nd 3.54-3.57, 6 Ho 3.58-3.60
Ho: 0.0868 0.4191 0.7547  1 Mg 3.49, 2 Tb 3.50-3.51, 6 Ho 3.54-3.56, 3 Nd 3.59-3.60
Ho: 0.2488 0.2488 0.2461  2 Tb 3.50, 1 Mg 3.51, 6 Ho 3.54-3.56, 3 Nd 3.58
Ho: 0.4191 0.0868 0.7547  1 Mg 3.49, 2 Tb 3.50-3.51, 6 Ho 3.54-3.56, 3 Nd 3.59-3.60
Ho: 0.5809 0.9132 0.2453  1 Mg 3.49, 2 Tb 3.50-3.51, 6 Ho 3.54-3.56, 3 Nd 3.59-3.60
Ho: 0.7512 0.7512 0.7539  2 Tb 3.50, 1 Mg 3.51, 6 Ho 3.54-3.56, 3 Nd 3.58
Ho: 0.9132 0.5809 0.2453  1 Mg 3.49, 2 Tb 3.50-3.51, 6 Ho 3.54-3.56, 3 Nd 3.59-3.60
Mg: 0.5000 0.5000 0.0000  6 Ho 3.49-3.51, 6 Tb 3.55-3.56

=====

2.
Below is a relaxed structure of Cs2RbPSe4, with properties calculated at the GGA-PBE level.

Computed properties:
The crystal system is monoclinic. As for the energy: -51.7 eV/cell. Its formation energy from raw total energies is -3.8 eV per formula unit.

Unit cell a=8.9910 b=8.9910 c=8.1716 alpha=91.58 beta=91.58 gamma=97.62
Closest atoms and distances in Å follow each position.
Atoms (fractional coordinates):
Cs: 0.0000 0.0000 0.0000  4 Se 3.62-3.78
Cs: 0.0000 0.0000 0.5000  4 Se 3.62-3.78
Cs: 0.0000 0.5000 0.0000  6 Se 3.56-3.84
Cs: 0.5000 0.0000 0.5000  6 Se 3.56-3.84
Rb: 0.5000 0.5000 0.0000  4 Se 3.29-3.41
Rb: 0.5000 0.5000 0.5000  4 Se 3.29-3.41
P: 0.0000 0.5000 0.5000  4 Se 2.40-2.44
P: 0.5000 0.0000 0.0000  4 Se 2.40-2.44
Se: 0.1754 0.3656 0.6506  1 P 2.44
Se: 0.1969 0.6680 0.3854  1 P 2.40
Se: 0.3320 0.8031 0.1146  1 P 2.40
Se: 0.3656 0.1754 0.1506  1 P 2.44
Se: 0.6344 0.8246 0.8494  1 P 2.44
Se: 0.6680 0.1969 0.8854  1 P 2.40
Se: 0.8031 0.3320 0.6146  1 P 2.40
Se: 0.8246 0.6344 0.3494  1 P 2.44

=====

3.
Below is a relaxed structure of Rb2IrPdO6, with properties calculated at the GGA-PBE level.

Computed properties:
The crystal system is trigonal. As for the energy: -54.5 eV/cell. Its formation energy from raw total energies is -8.8 eV per formula unit.

Unit cell a=6.2093 b=6.2093 c=5.3489 alpha=90.00 beta=90.00 gamma=120.00
Closest atoms and distances in Å follow each position.
Atoms (fractional coordinates):
Rb: 0.3333 0.6667 0.2699  12 O 3.12-3.42
Rb: 0.6667 0.3333 0.7301  12 O 3.12-3.42
Ir: 0.0000 0.0000 0.0000  6 O 1.97
Pd: 0.0000 0.0000 0.5000  6 O 2.05
O: 0.1395 0.2790 0.7620  1 Ir 1.97, 1 Pd 2.05
O: 0.1395 0.8605 0.7620  1 Ir 1.97, 1 Pd 2.05
O: 0.2790 0.1395 0.2380  1 Ir 1.97, 1 Pd 2.05
O: 0.7210 0.8605 0.7620  1 Ir 1.97, 1 Pd 2.05
O: 0.8605 0.1395 0.2380  1 Ir 1.97, 1 Pd 2.05
O: 0.8605 0.7210 0.2380  1 Ir 1.97, 1 Pd 2.05

=====

4.
Below is a relaxed structure of Na3AuF, with properties calculated at the GGA-PBE level.

Computed properties:
The crystal system is cubic. The calculation puts the energy above the most stable polymorph in this dataset at 0 meV per atom. As for the energy: -15.0 eV/cell. Its formation energy from raw total energies is -5.9 eV per formula unit.

Unit cell a=4.6578 b=4.6578 c=4.6578 alpha=90.00 beta=90.00 gamma=90.00
Closest atoms and distances in Å follow each position.
Atoms (fractional coordinates):
Na: 0.0000 0.0000 0.5000  2 F 2.33
Na: 0.0000 0.5000 0.0000  2 F 2.33
Na: 0.5000 0.0000 0.0000  2 F 2.33
Au: 0.5000 0.5000 0.5000  12 Na 3.29
F: 0.0000 0.0000 0.0000  6 Na 2.33

=====

5.
Below is a relaxed structure of Ac4Cu2Ir, with properties calculated at the GGA-PBE level.

Computed properties:
The crystal system is tetragonal. The calculation puts the energy above the most stable polymorph in this dataset at 182 meV per atom. As for the energy: -34.4 eV/cell.

Unit cell a=8.3511 b=8.3511 c=8.3511 alpha=138.78 beta=138.78 gamma=59.71
Closest atoms and distances in Å follow each position.
Atoms (fractional coordinates):
Ac: 0.0000 0.5000 0.5000  2 Ir 2.94, 4 Cu 3.19
Ac: 0.2042 0.2042 0.0000  1 Ir 2.96, 1 Cu 3.03
Ac: 0.5000 0.0000 0.5000  2 Ir 2.94, 4 Cu 3.19
Ac: 0.7958 0.7958 0.0000  1 Ir 2.96, 1 Cu 3.03
Cu: 0.4136 0.4136 0.0000  1 Cu 2.50
Cu: 0.5864 0.5864 0.0000  1 Cu 2.50
Ir: 0.0000 0.0000 0.0000  6 Ac 2.94-2.96

=====

6.
Below is a relaxed structure of Hf3TiPb, with properties calculated at the GGA-PBE level.

Computed properties:
The crystal system is monoclinic. The calculation puts the energy above the most stable polymorph in this dataset at 58 meV per atom. As for the energy: -163.9 eV/cell.

Unit cell a=7.6827 b=7.6827 c=9.6372 alpha=117.34 beta=117.34 gamma=71.48
Closest atoms and distances in Å follow each position.
Atoms (fractional coordinates):
Hf: 0.0351 0.3588 0.5707  5 Hf 2.86-3.18, 1 Ti 3.02, 2 Pb 3.08-3.17
Hf: 0.0510 0.7308 0.9093  1 Ti 2.74, 2 Pb 3.00-3.05, 1 Hf 3.05
Hf: 0.2692 0.9490 0.5907  1 Ti 2.74, 2 Pb 3.00-3.05, 1 Hf 3.05
Hf: 0.3177 0.3396 0.9060  1 Pb 2.96, 5 Hf 2.99-3.25, 3 Ti 3.09-3.15
Hf: 0.3396 0.3177 0.4060  1 Pb 2.96, 5 Hf 2.99-3.25, 3 Ti 3.09-3.15
Hf: 0.3588 0.0351 0.0707  5 Hf 2.86-3.18, 1 Ti 3.02, 2 Pb 3.08-3.17
Hf: 0.6412 0.9649 0.9293  5 Hf 2.86-3.18, 1 Ti 3.02, 2 Pb 3.08-3.17
Hf: 0.6604 0.6823 0.5940  1 Pb 2.96, 5 Hf 2.99-3.25, 3 Ti 3.09-3.15
Hf: 0.6823 0.6604 0.0940  1 Pb 2.96, 5 Hf 2.99-3.25, 3 Ti 3.09-3.15
Hf: 0.7308 0.0510 0.4093  1 Ti 2.74, 2 Pb 3.00-3.05, 1 Hf 3.05
Hf: 0.9490 0.2692 0.0907  1 Ti 2.74, 2 Pb 3.00-3.05, 1 Hf 3.05
Hf: 0.9649 0.6412 0.4293  5 Hf 2.86-3.18, 1 Ti 3.02, 2 Pb 3.08-3.17
Ti: 0.1427 0.5728 0.1837  2 Hf 2.74-3.02, 1 Pb 2.87, 2 Ti 3.02-3.06
Ti: 0.4272 0.8573 0.3163  2 Hf 2.74-3.02, 1 Pb 2.87, 2 Ti 3.02-3.06
Ti: 0.5728 0.1427 0.6837  2 Hf 2.74-3.02, 1 Pb 2.87, 2 Ti 3.02-3.06
Ti: 0.8573 0.4272 0.8163  2 Hf 2.74-3.02, 1 Pb 2.87, 2 Ti 3.02-3.06
Pb: 0.0133 0.9867 0.2500  2 Ti 2.87, 6 Hf 3.00-3.08
Pb: 0.3867 0.6133 0.7500  6 Hf 2.96-3.27, 2 Ti 3.31
Pb: 0.6133 0.3867 0.2500  6 Hf 2.96-3.27, 2 Ti 3.31
Pb: 0.9867 0.0133 0.7500  2 Ti 2.87, 6 Hf 3.00-3.08

=====

7.
Below is a relaxed structure of BeMoSCl2, with properties calculated at the GGA-PBE level.

Computed properties:
The crystal system is tetragonal. The calculation puts the energy above the most stable polymorph in this dataset at 0 meV per atom. As for the energy: -21.7 eV/cell. Its formation energy from raw total energies is 0.7 eV per formula unit.

Unit cell a=4.1679 b=4.1679 c=5.3455 alpha=90.00 beta=90.00 gamma=90.00
Closest atoms and distances in Å follow each position.
Atoms (fractional coordinates):
Be: 0.0000 0.0000 0.0000  4 Cl 2.08
Mo: 0.5000 0.5000 0.5000  4 S 2.95
S: 0.0000 0.0000 0.5000  2 Be 2.67, 4 Mo 2.95
Cl: 0.0000 0.5000 0.0000  2 Be 2.08
Cl: 0.5000 0.0000 0.0000  2 Be 2.08

=====

8.
Below is a relaxed structure of Mg2In4Ga, with properties calculated at the GGA-PBE level.

Computed properties:
The crystal system is triclinic. The calculation puts the energy above the most stable polymorph in this dataset at 0 meV per atom. As for the energy: -34.7 eV/cell.

Unit cell a=6.5470 b=7.0350 c=7.9873 alpha=71.18 beta=89.19 gamma=74.93
Closest atoms and distances in Å follow each position.
Atoms (fractional coordinates):
Mg: 0.0000 0.0000 0.0000  2 Ga 3.04-3.09, 8 In 3.15-3.30, 2 Mg 3.32-3.38
Mg: 0.0805 0.7000 0.4325  7 In 3.10-3.20, 4 Mg 3.25-3.38
Mg: 0.2197 0.1371 0.2989  8 In 3.13-3.32, 3 Mg 3.20-3.32, 1 Ga 3.22
Mg: 0.5768 0.7021 0.4361  8 In 3.11-3.33, 3 Mg 3.20-3.29, 1 Ga 3.41
In: 0.2887 0.8330 0.7150  4 Mg 3.11-3.28, 2 Ga 3.19-3.26, 6 In 3.26-3.40
In: 0.3644 0.5607 0.1448  2 Ga 3.12-3.18, 4 Mg 3.17-3.26, 6 In 3.26-3.39
In: 0.4350 0.2862 0.5845  3 Mg 3.10-3.27, 2 Ga 3.14-3.20, 7 In 3.27-3.40
In: 0.4954 0.9992 0.0101  2 Ga 3.04-3.12, 4 Mg 3.15-3.33, 6 In 3.24-3.38
In: 0.7317 0.1204 0.2992  5 Mg 3.10-3.32, 6 In 3.24-3.37, 1 Ga 3.31
In: 0.7935 0.8213 0.7300  2 Ga 3.11-3.18, 3 Mg 3.20-3.28, 7 In 3.26-3.46
In: 0.8661 0.5589 0.1537  2 Ga 3.10-3.27, 4 Mg 3.13-3.29, 6 In 3.26-3.38
In: 0.9349 0.2863 0.5921  2 Ga 3.09-3.14, 4 Mg 3.13-3.24, 5 In 3.27-3.38
Ga: 0.1447 0.4043 0.8819  7 In 3.04-3.26, 2 Mg 3.09-3.22, 2 Ga 3.26-3.29
Ga: 0.6474 0.4045 0.8732  1 Mg 3.04, 8 In 3.09-3.31, 2 Ga 3.26-3.29

=====

9.
Below is a relaxed structure of Mn2SbS4, with properties calculated at the GGA-PBE level.

Computed properties:
The crystal system is orthorhombic. The calculation puts the energy above the most stable polymorph in this dataset at 0 meV per atom. As for the energy: -83.3 eV/cell. Its formation energy from raw total energies is -2.7 eV per formula unit.

Unit cell a=7.3930 b=7.3930 c=7.3930 alpha=121.35 beta=110.62 gamma=97.33
Closest atoms and distances in Å follow each position.
Atoms (fractional coordinates):
Mn: 0.0000 0.0000 0.0000  6 S 2.44-2.68
Mn: 0.5000 0.0000 0.0000  6 S 2.41-2.60
Mn: 0.5000 0.0000 0.5000  6 S 2.44-2.68
Mn: 0.5000 0.5000 0.5000  6 S 2.41-2.60
Sb: 0.0763 0.3263 0.7500  4 S 2.51-2.74
Sb: 0.9237 0.6737 0.2500  4 S 2.51-2.74
S: 0.2344 0.2120 0.4776  1 Sb 2.51, 3 Mn 2.60-2.68
S: 0.2344 0.7569 0.0224  1 Sb 2.51, 3 Mn 2.60-2.68
S: 0.3058 0.2447 0.0611  3 Mn 2.41-2.44
S: 0.3164 0.7553 0.5611  3 Mn 2.41-2.44
S: 0.6836 0.2447 0.4389  3 Mn 2.41-2.44
S: 0.6942 0.7553 0.9389  3 Mn 2.41-2.44
S: 0.7655 0.2431 0.9776  1 Sb 2.51, 3 Mn 2.60-2.68
S: 0.7655 0.7880 0.5224  1 Sb 2.51, 3 Mn 2.60-2.68

=====

10.
Below is a relaxed structure of ZnCd6In, with properties calculated at the GGA-PBE level.

Computed properties:
The crystal system is tetragonal. As for the energy: -9.1 eV/cell.

Unit cell a=4.4659 b=4.4659 c=8.9200 alpha=90.00 beta=90.00 gamma=90.00
Closest atoms and distances in Å follow each position.
Atoms (fractional coordinates):
Zn: 0.0000 0.0000 0.0000  12 Cd 3.07-3.16
Cd: 0.0000 0.5000 0.2357  8 Cd 3.07-3.25, 2 Zn 3.07, 2 In 3.25
Cd: 0.0000 0.5000 0.7643  8 Cd 3.07-3.25, 2 Zn 3.07, 2 In 3.25
Cd: 0.5000 0.0000 0.2357  8 Cd 3.07-3.25, 2 Zn 3.07, 2 In 3.25
Cd: 0.5000 0.0000 0.7643  8 Cd 3.07-3.25, 2 Zn 3.07, 2 In 3.25
Cd: 0.5000 0.5000 0.0000  8 Cd 3.07, 4 Zn 3.16
Cd: 0.5000 0.5000 0.5000  4 In 3.16, 8 Cd 3.25
In: 0.0000 0.0000 0.5000  12 Cd 3.16-3.25

=====

11.
Below is a relaxed structure of Cu2SbMo, with properties calculated at the GGA-PBE level.

Computed properties:
The crystal system is monoclinic. As for the energy: -21.8 eV/cell. Its formation energy from raw total energies is 1.3 eV per formula unit.

Unit cell a=5.2470 b=5.2470 c=4.4329 alpha=110.65 beta=110.65 gamma=34.12
Closest atoms and distances in Å follow each position.
Atoms (fractional coordinates):
Cu: 0.2491 0.2491 0.2424  4 Cu 2.65-2.75, 2 Mo 2.79, 2 Sb 2.81
Cu: 0.7509 0.7509 0.7576  4 Cu 2.65-2.75, 2 Mo 2.79, 2 Sb 2.81
Sb: 0.0000 0.0000 0.5000  4 Mo 2.70, 4 Cu 2.81
Mo: 0.5000 0.5000 0.0000  4 Sb 2.70, 4 Cu 2.79

=====

12.
Below is a relaxed structure of YHo4Cd, with properties calculated at the GGA-PBE level.

Computed properties:
The crystal system is monoclinic. The calculation puts the energy above the most stable polymorph in this dataset at 66 meV per atom. As for the energy: -51.6 eV/cell.

Unit cell a=6.0376 b=6.0376 c=11.7003 alpha=105.25 beta=105.25 gamma=59.94
Closest atoms and distances in Å follow each position.
Atoms (fractional coordinates):
Y: 0.0000 0.5000 0.0000  2 Cd 3.42, 10 Ho 3.44-3.53
Y: 0.5000 0.0000 0.5000  2 Cd 3.42, 10 Ho 3.44-3.53
Ho: 0.1628 0.6759 0.4995  7 Ho 3.39-3.55, 2 Cd 3.41-3.43, 3 Y 3.46-3.53
Ho: 0.2489 0.4191 0.7496  7 Ho 3.43-3.49, 2 Y 3.44-3.45, 3 Cd 3.47-3.50
Ho: 0.3241 0.8372 0.0005  7 Ho 3.39-3.55, 2 Cd 3.41-3.43, 3 Y 3.46-3.53
Ho: 0.4191 0.2489 0.2496  7 Ho 3.43-3.49, 2 Y 3.44-3.45, 3 Cd 3.47-3.50
Ho: 0.5809 0.7511 0.7504  7 Ho 3.43-3.49, 2 Y 3.44-3.45, 3 Cd 3.47-3.50
Ho: 0.6759 0.1628 0.9995  7 Ho 3.39-3.55, 2 Cd 3.41-3.43, 3 Y 3.46-3.53
Ho: 0.7511 0.5809 0.2504  7 Ho 3.43-3.49, 2 Y 3.44-3.45, 3 Cd 3.47-3.50
Ho: 0.8372 0.3241 0.5005  7 Ho 3.39-3.55, 2 Cd 3.41-3.43, 3 Y 3.46-3.53
Cd: 0.0866 0.9134 0.2500  10 Ho 3.41-3.50, 2 Y 3.42
Cd: 0.9134 0.0866 0.7500  10 Ho 3.41-3.50, 2 Y 3.42